Material: Mg2Be12CoB3
Method: DFT, PBE
State: optimized geometry

## Properties
DFT formation energy in eV/atom: 0.363
Calculated volume in A^3/atom: 11.48

Cell lengths 6.8733, 6.8733, 15.1521 Å; angles 90.00, 90.00, 120.00 degrees
Space group R-3m (No. 166, hexagonal axes)
Inequivalent atoms, fractional coordinates:
1 Mg 0.0000 0.0000 0.0925 [6 per cell]
2 Be 0.0205 0.5103 0.8808 [18 per cell]
3 Be 0.1105 0.5552 0.3062 [18 per cell]
4 Co 0.0000 0.0000 0.5000 [3 per cell]
5 B 0.0000 0.5000 0.0000 [9 per cell]